# YPaGaRe PBE relaxed
data_YPaGaRe
_cell_length_a 7.0173
_cell_length_b 7.0173
_cell_length_c 7.0173
_cell_angle_alpha 90.00
_cell_angle_beta 90.00
_cell_angle_gamma 90.00
_space_group_name_H-M_alt 'F -4 3 m'
_space_group_IT_number 216
_space_group_name_Hall 'F -4 2 3'
loop_
_atom_site_label
_atom_site_fract_x
_atom_site_fract_y
_atom_site_fract_z
_atom_site_occupancy
Y1 0.0000 0.0000 0.0000 1
Pa1 0.0000 0.0000 0.5000 1
Ga1 0.2500 0.2500 0.7500 1
Re1 0.2500 0.2500 0.2500 1
# Raw total energy: -7.934 eV per atom
# Energy of formation from the pure elements: -0.08 eV per atom